Density functional theory data (PBE) for a relaxed structure of Cs2ScCrBr6.

Lattice parameters (Å, degrees): 7.7846 7.7846 7.7856 60.00 60.00 90.00
Closest atoms and distances in Å follow each position.
Element x y z (fractional)
Cs1 0.7500 0.2500 0.5000  12 Br 3.89
Cs2 0.2500 0.7500 0.5000  12 Br 3.89
Cr1 0.0000 0.0000 0.0000  6 Br 2.80
Sc1 0.5000 0.5000 0.0000  6 Br 2.70
Br1 0.2547 0.2547 0.4906  1 Sc 2.70, 1 Cr 2.80
Br2 0.7453 0.7453 0.5094  1 Sc 2.70, 1 Cr 2.80
Br3 0.2546 0.2546 0.0000  1 Sc 2.70, 1 Cr 2.80
Br4 0.7454 0.7454 0.0000  1 Sc 2.70, 1 Cr 2.80
Br5 0.7454 0.2546 0.0000  1 Sc 2.70, 1 Cr 2.80
Br6 0.2546 0.7454 0.0000  1 Sc 2.70, 1 Cr 2.80

Final energy ... -4.1899 eV per atom
DOS at the Fermi energy ... 0.000 states/eV/atom